Entry 1:
## TiMnCrTc (GGA-PBE)

Data for a relaxed structure of TiMnCrTc.

```
TiMnCrTc
1.0
2.964 0.000 0.000
0.000 2.964 0.000
0.000 0.000 5.987
Ti Mn Cr Tc
1 1 1 1
Cartesian
0.000 0.000 0.000
1.482 1.482 1.490
0.000 0.000 2.878
1.482 1.482 4.335
```

Summary:
* E: -9.45 eV per atom
* SG: P4mm

***

Entry 2:
## Li2CdPd2 (GGA-PBE)

Data for a relaxed structure of Li2CdPd2.

```
Li2CdPd2
1.0
7.119 0.000 0.000
0.000 7.119 0.000
0.000 0.000 2.945
Li Cd Pd
4 2 4
Cartesian
0.864 2.695 0.000
2.695 6.255 0.000
4.424 0.864 0.000
6.255 4.424 0.000
0.000 0.000 0.000
3.560 3.560 0.000
1.262 4.822 1.473
2.298 1.262 1.473
4.822 5.857 1.473
5.857 2.298 1.473
```

Summary:
* E: -3.41 eV per atom
* SG: P4/mbm

***

Entry 3:
## BaNaH2 (GGA-PBE)

Data for a relaxed structure of BaNaH2.

```
BaNaH2
1.0
1.930 1.114 6.164
-1.930 1.114 6.164
0.000 -2.228 6.164
Ba Na H
1 1 2
Cartesian
0.000 0.000 0.000
0.000 0.000 9.246
0.000 0.000 4.457
0.000 0.000 14.034
```

Summary:
* E: -2.67 eV per atom
* SG: R-3m

***

Entry 4:
## CePm12Tm5 (GGA-PBE)

Data for a relaxed structure of CePm12Tm5.

```
CePm12Tm5
1.0
5.613 -8.948 0.000
5.613 8.948 0.000
-0.006 0.000 5.928
Ce Pm Tm
1 12 5
Cartesian
0.000 0.000 0.000
3.850 5.853 5.915
1.831 0.000 2.940
3.818 3.038 2.975
3.676 0.000 5.903
7.371 5.853 0.013
7.402 3.038 2.954
3.818 -3.038 2.975
3.850 -5.853 5.915
7.544 0.000 0.025
7.402 -3.038 2.954
9.390 0.000 2.988
7.371 -5.853 0.013
5.610 6.034 2.964
5.613 2.833 0.000
5.610 0.000 2.964
5.613 -2.833 0.000
5.610 -6.034 2.964
```

Summary:
* E: -4.62 eV per atom
* SG: C2/m

***

Entry 5:
## MnBAs2Br (GGA-PBE)

Data for a relaxed structure of MnBAs2Br.

```
MnBAs2Br
1.0
4.557 0.000 0.000
0.000 4.557 0.000
0.000 0.000 5.415
Mn B As Br
1 1 2 1
Cartesian
0.000 0.000 0.000
2.278 2.278 2.707
0.000 2.278 0.000
2.278 0.000 0.000
0.000 0.000 2.707
```

Summary:
* energy relative to the elements, uncorrected: 1122.4 meV/atom
* SG: P4/mmm

***

Entry 6:
## NbCuI2N (GGA-PBE)

Data for a relaxed structure of NbCuI2N.

```
NbCuI2N
1.0
5.710 0.000 0.000
0.000 5.710 0.000
0.000 0.000 3.914
Nb Cu I N
1 1 2 1
Cartesian
0.000 0.000 0.000
2.855 2.855 1.957
0.000 2.855 0.000
2.855 0.000 0.000
0.000 0.000 1.957
```

Summary:
* energy relative to the elements, uncorrected: 363.3 meV/atom
* SG: P4/mmm

***

Entry 7:
## Pm4GaTe2Br (GGA-PBE)

Data for a relaxed structure of Pm4GaTe2Br.

```
Pm4GaTe2Br
1.0
7.575 0.000 0.000
0.000 4.357 0.000
-2.491 0.000 7.232
Pm Ga Te Br
4 1 2 1
Cartesian
1.173 0.000 1.654
-0.119 2.178 5.523
5.204 2.178 1.710
3.911 0.000 5.578
0.000 2.178 0.000
-1.245 0.000 3.616
2.542 2.178 3.616
3.788 0.000 0.000
```

Summary:
* energy relative to the elements, uncorrected: -1174.2 meV/atom
* SG: P2/m

***

Entry 8:
## Sc4InRh (GGA-PBE)

Data for a relaxed structure of Sc4InRh.

```
Sc4InRh
1.0
0.000 6.400 6.400
6.400 0.000 6.400
6.400 6.400 0.000
Sc In Rh
16 4 4
Cartesian
3.200 3.200 0.757
3.200 0.757 3.200
5.643 3.200 3.200
6.400 6.400 2.426
6.400 2.426 6.400
10.374 6.400 6.400
7.703 5.097 5.097
0.757 3.200 3.200
3.200 5.643 3.200
3.200 3.200 5.643
5.097 7.703 5.097
5.097 5.097 7.703
7.703 7.703 7.703
2.426 6.400 6.400
6.400 10.374 6.400
6.400 6.400 10.374
10.696 8.504 8.504
8.504 10.696 8.504
8.504 8.504 10.696
10.696 10.696 10.696
5.027 5.027 5.027
7.773 7.773 5.027
7.773 5.027 7.773
5.027 7.773 7.773
```

Summary:
* E: -6.45 eV per atom
* SG: F-43m

***

no.,magnetic moment (μB/f.u.)
1,0.00
2,0.00
3,0.20
4,1.28
5,2.09
6,0.71
7,0.00
8,0.00